Here is an optimized crystal structure of GeCOF2 from the Alexandria database. Energies are from PBE-GGA.

Unit cell a=4.484 b=4.484 c=2.882 alpha=90.00 beta=90.00 gamma=90.00
Space group P4/mmm (No. 123)
Unique sites:
Ge (0.000, 0.000, 0.000) x1
C (0.500, 0.500, 0.500) x1
O (0.500, 0.500, 0.000) x1
F (0.000, 0.500, 0.500) x2

Summary:
distance to the lowest polymorph of the same formula	0.0	meV/atom
formation energy (no corrections)	0.01	eV per atom